## BaMoIrI2 (PBE)

Data for an optimized crystal structure of BaMoIrI2.

It has space group P4/mmm (No. 123), with a = 6.632 Å, b = 6.632 Å, c = 5.682 Å, α = 90.00°, β = 90.00° and γ = 90.00°. The asymmetric unit holds Ba at (0.000, 0.000, 0.000), Mo at (0.500, 0.500, 0.500), Ir at (0.000, 0.000, 0.500) and I at (0.000, 0.500, 0.000).

As for the formation energy without anion corrections: 1.40 eV per atom.